This record from the Alexandria database describes KRb3 after structural relaxation. The functional is GGA-PBEsol.

Properties
Calculated formation energy ... 0.003 eV/atom
Crystal system ... tetragonal

Cell lengths 6.8885, 6.8885, 8.4385 Å; angles 114.09, 114.09, 90.00 degrees
With the nearest neighbours (Å) after each atom.
Sites, in units of the cell vectors:
K 0.0000 0.0000 0.0000  12 Rb 4.87
Rb 0.5000 0.5000 0.0000  4 K 4.87, 8 Rb 4.87
Rb 0.2500 0.7500 0.5000  8 Rb 4.87, 4 K 4.87
Rb 0.7500 0.2500 0.5000  8 Rb 4.87, 4 K 4.87

This record from the Alexandria database describes TcOsPd2 after structural relaxation. The functional is GGA-PBEsol.

Properties
Calculated formation energy ... 0.598 eV/atom
Crystal system ... cubic

Cell lengths 4.3287, 4.3287, 4.3287 Å; angles 60.00, 60.00, 60.00 degrees
With the nearest neighbours (Å) after each atom.
Sites, in units of the cell vectors:
Tc 0.0000 0.0000 0.0000  8 Pd 2.65
Pd 0.2500 0.2500 0.2500  4 Tc 2.65, 4 Os 2.65
Pd 0.7500 0.7500 0.7500  4 Tc 2.65, 4 Os 2.65
Os 0.5000 0.5000 0.5000  8 Pd 2.65

This record from the Alexandria database describes KCr2Te2 after structural relaxation. The functional is GGA-PBEsol.

Properties
Crystal system ... tetragonal
ΔE_f (raw) ... -0.49 eV per formula unit

Cell lengths 3.8072, 3.8072, 8.4063 Å; angles 103.09, 103.09, 90.00 degrees
With the nearest neighbours (Å) after each atom.
Sites, in units of the cell vectors:
Te 0.6408 0.6408 0.2817  4 Cr 2.58
Cr 0.7500 0.2500 0.5000  4 Te 2.58, 4 Cr 2.69
Cr 0.2500 0.7500 0.5000  4 Te 2.58, 4 Cr 2.69
K 0.0000 0.0000 0.0000  8 Te 3.50, 4 K 3.81
Te 0.3592 0.3592 0.7183  4 Cr 2.58

This record from the Alexandria database describes ZnPbCl2 after structural relaxation. The functional is GGA-PBEsol.

Properties
Crystal system ... monoclinic
E above lowest polymorph ... 135.6 meV/atom
ΔE_f (raw) ... -1.82 eV per formula unit

Cell lengths 4.2339, 4.2385, 8.7472 Å; angles 103.61, 90.00, 119.96 degrees
With the nearest neighbours (Å) after each atom.
Sites, in units of the cell vectors:
Cl 0.2744 0.5487 0.3181  3 Pb 2.89
Cl 0.7256 0.4513 0.6819  3 Pb 2.89
Pb 0.0000 0.0000 0.5000  6 Cl 2.89
Zn 0.5000 0.0000 0.0000  6 Cl 3.60-3.64

This record from the Alexandria database describes Mg2InHg2 after structural relaxation. The functional is GGA-PBEsol.

Properties
Calculated formation energy ... -0.202 eV/atom
Crystal system ... tetragonal

Cell lengths 3.2783, 8.1725, 8.1725 Å; angles 90.00, 90.00, 90.00 degrees
With the nearest neighbours (Å) after each atom.
Sites, in units of the cell vectors:
Mg 0.5000 0.6658 0.8342  6 Hg 2.84-2.95
Hg 0.0000 0.1332 0.3668  6 Mg 2.84-2.95, 1 Hg 3.08
In 0.0000 0.5000 0.5000  4 Hg 3.19, 2 In 3.28, 8 Mg 3.46
Mg 0.5000 0.3342 0.1658  6 Hg 2.84-2.95
Hg 0.0000 0.3668 0.8668  6 Mg 2.84-2.95, 1 Hg 3.08
Mg 0.5000 0.8342 0.3342  6 Hg 2.84-2.95
In 0.0000 0.0000 0.0000  4 Hg 3.19, 2 In 3.28, 8 Mg 3.46
Mg 0.5000 0.1658 0.6658  6 Hg 2.84-2.95
Hg 0.0000 0.6332 0.1332  6 Mg 2.84-2.95, 1 Hg 3.08
Hg 0.0000 0.8668 0.6332  6 Mg 2.84-2.95, 1 Hg 3.08

This record from the Alexandria database describes ZrNbB2 after structural relaxation. The functional is GGA-PBEsol.

Properties
Calculated formation energy ... -0.783 eV/atom
Crystal system ... orthorhombic

Cell lengths 3.1779, 3.3944, 4.8430 Å; angles 110.51, 90.00, 90.00 degrees
With the nearest neighbours (Å) after each atom.
Sites, in units of the cell vectors:
Zr 0.0000 0.1483 0.2965  7 B 2.49-2.66
B 0.0000 0.4414 0.8828  2 B 1.87
B 0.5000 0.5493 0.0986  2 B 1.87
Nb 0.5000 0.8610 0.7221  6 B 2.41-2.44

This record from the Alexandria database describes SiMoBr3 after structural relaxation. The functional is GGA-PBEsol.

Properties
Crystal system ... cubic
ΔE_f (raw) ... 2.93 eV per formula unit

Cell lengths 5.0671, 5.0671, 5.0671 Å; angles 90.00, 90.00, 90.00 degrees
With the nearest neighbours (Å) after each atom.
Sites, in units of the cell vectors:
Br 0.0000 0.5000 0.0000  2 Mo 2.53
Mo 0.0000 0.0000 0.0000  6 Br 2.53
Si 0.5000 0.5000 0.5000  12 Br 3.58
Br 0.0000 0.0000 0.5000  2 Mo 2.53
Br 0.5000 0.0000 0.0000  2 Mo 2.53

This record from the Alexandria database describes ZrCdSeBr2 after structural relaxation. The functional is GGA-PBEsol.

Properties
Crystal system ... tetragonal
ΔE_f (raw) ... 0.93 eV per formula unit

Cell lengths 5.1551, 5.1551, 5.2536 Å; angles 90.00, 90.00, 90.00 degrees
With the nearest neighbours (Å) after each atom.
Sites, in units of the cell vectors:
Br 0.0000 0.5000 0.0000  2 Cd 2.58
Se 0.0000 0.0000 0.5000  2 Cd 2.63
Zr 0.5000 0.5000 0.5000  4 Se 3.65, 8 Br 3.68
Br 0.5000 0.0000 0.0000  2 Cd 2.58
Cd 0.0000 0.0000 0.0000  4 Br 2.58, 2 Se 2.63

This record from the Alexandria database describes LiMnAl2 after structural relaxation. The functional is GGA-PBEsol.

Properties
Calculated formation energy ... -0.169 eV/atom
Crystal system ... tetragonal

Cell lengths 2.8790, 2.8790, 6.4839 Å; angles 90.00, 90.00, 90.00 degrees
With the nearest neighbours (Å) after each atom.
Sites, in units of the cell vectors:
Al 0.0000 0.0000 0.2732  4 Mn 2.51, 4 Li 2.70
Al 0.0000 0.0000 0.7268  4 Mn 2.51, 4 Li 2.70
Mn 0.5000 0.5000 0.5000  8 Al 2.51
Li 0.5000 0.5000 0.0000  8 Al 2.70, 4 Li 2.88

This record from the Alexandria database describes Tl2AsCl after structural relaxation. The functional is GGA-PBEsol.

Properties
Crystal system ... tetragonal
E above lowest polymorph ... 0.0 meV/atom
ΔE_f (raw) ... -1.18 eV per formula unit

Cell lengths 4.2147, 4.2200, 5.9430 Å; angles 90.00, 90.00, 90.00 degrees
With the nearest neighbours (Å) after each atom.
Sites, in units of the cell vectors:
Cl 0.8750 0.5000 0.5000  6 Tl 2.97-2.98
Tl 0.8752 0.5000 0.0000  2 Cl 2.97, 4 As 2.98
Tl 0.3748 0.0000 0.5000  2 As 2.97, 4 Cl 2.98
As 0.3751 0.0000 0.0000  6 Tl 2.97-2.98

This record from the Alexandria database describes Ir2RhCl after structural relaxation. The functional is GGA-PBEsol.

Properties
Crystal system ... orthorhombic
E above lowest polymorph ... 0.0 meV/atom
ΔE_f (raw) ... 3.00 eV per formula unit

Cell lengths 2.7885, 3.5453, 5.9525 Å; angles 90.00, 90.00, 90.00 degrees
With the nearest neighbours (Å) after each atom.
Sites, in units of the cell vectors:
Cl 0.5000 0.5000 0.5000  8 Ir 2.78, 2 Cl 2.79, 2 Rh 2.98
Ir 0.0000 0.0000 0.2275  4 Rh 2.63, 3 Ir 2.71-2.79, 4 Cl 2.78
Rh 0.5000 0.5000 0.0000  8 Ir 2.63, 2 Rh 2.79
Ir 0.0000 0.0000 0.7725  4 Rh 2.63, 3 Ir 2.71-2.79, 4 Cl 2.78

This record from the Alexandria database describes HfNbN2O after structural relaxation. The functional is GGA-PBEsol.

Properties
Crystal system ... tetragonal
ΔE_f (raw) ... -4.07 eV per formula unit

Cell lengths 3.8143, 4.0391, 4.0391 Å; angles 90.00, 90.00, 90.00 degrees
With the nearest neighbours (Å) after each atom.
Sites, in units of the cell vectors:
O 0.5000 0.0000 0.0000  2 Nb 1.91
Hf 0.5000 0.5000 0.5000  8 N 2.78, 4 O 2.86
N 0.0000 0.0000 0.5000  2 Nb 2.02
N 0.0000 0.5000 0.0000  2 Nb 2.02
Nb 0.0000 0.0000 0.0000  2 O 1.91, 4 N 2.02

This record from the Alexandria database describes Y5Si2Sb2 after structural relaxation. The functional is GGA-PBEsol.

Properties
Crystal system ... orthorhombic
ΔE_f (raw) ... -9.05 eV per formula unit

Cell lengths 7.7353, 8.4142, 7.7560 Å; angles 90.00, 90.00, 117.37 degrees
With the nearest neighbours (Å) after each atom.
Sites, in units of the cell vectors:
Sb 0.7933 0.5867 0.0000  7 Y 3.09-3.11
Si 0.6255 0.0000 0.8751  1 Si 2.74, 8 Y 2.94-3.07
Y 0.4575 0.2547 0.8304  3 Si 2.94-2.99, 3 Sb 3.10-3.11
Y 0.0000 0.0000 0.0000  4 Si 3.05-3.07, 2 Sb 3.09
Sb 0.7067 0.4133 0.5000  7 Y 3.09-3.11
Si 0.1255 0.0000 0.6249  1 Si 2.74, 8 Y 2.94-3.07
Si 0.8745 0.0000 0.3751  1 Si 2.74, 8 Y 2.94-3.07
Y 0.5425 0.7453 0.1696  3 Si 2.94-2.99, 3 Sb 3.10-3.11
Y 0.0425 0.7453 0.3304  3 Si 2.94-2.99, 3 Sb 3.10-3.11
Y 0.9575 0.2547 0.6696  3 Si 2.94-2.99, 3 Sb 3.10-3.11
Y 0.7027 0.7453 0.6696  3 Si 2.94-2.99, 3 Sb 3.10-3.11
Sb 0.2933 0.5867 0.5000  7 Y 3.09-3.11
Sb 0.2067 0.4133 0.0000  7 Y 3.09-3.11
Si 0.3745 0.0000 0.1249  1 Si 2.74, 8 Y 2.94-3.07
Y 0.7973 0.2547 0.1696  3 Si 2.94-2.99, 3 Sb 3.10-3.11
Y 0.5000 0.0000 0.5000  4 Si 3.05-3.07, 2 Sb 3.09
Y 0.2973 0.2547 0.3304  3 Si 2.94-2.99, 3 Sb 3.10-3.11
Y 0.2027 0.7453 0.8304  3 Si 2.94-2.99, 3 Sb 3.10-3.11